Record 1
An optimized crystal structure of TbUTc2, computed with PBE-GGA.

a b c (Å): 3.3709 3.3709 24.9827
angles (deg): 90.00 90.00 120.00
Space group R-3m (No. 166, hexagonal axes)
Unique sites:
Tb 0.0000 0.0000 0.0000 [3 per cell]
U 0.0000 0.0000 0.5000 [3 per cell]
Tc 0.0000 0.0000 0.2361 [6 per cell]

Results
VASP energy = -109.42 eV/cell
energy of formation from the pure elements = 0.044 eV/atom
crystal system = trigonal

=====

Record 2
An optimized crystal structure of Tb3U2Tc4, computed with PBE-GGA.

a b c (Å): 11.010 4.255 8.859
angles (deg): 90.00 101.37 90.00
Space group C2/m (No. 12)
Unique sites:
Tb 0.000 0.000 0.000 [2 per cell]
Tb 0.125 0.500 0.385 [4 per cell]
U 0.174 0.500 0.777 [4 per cell]
Tc 0.089 0.000 0.638 [4 per cell]
Tc 0.228 0.500 0.096 [4 per cell]

Results
VASP energy = -158.75 eV/cell
energy of formation from the pure elements = -0.160 eV/atom
crystal system = monoclinic

=====

Record 3
An optimized crystal structure of TbU2Tc2, computed with PBE-GGA.

a b c (Å): 5.185 13.506 5.939
angles (deg): 90.00 90.00 90.00
Space group Cmcm (No. 63)
Unique sites:
Tb 0.000 0.070 0.250 [4 per cell]
U 0.000 0.305 0.523 [8 per cell]
Tc 0.000 0.142 0.750 [4 per cell]
Tc 0.000 0.446 0.250 [4 per cell]

Results
VASP energy = -190.86 eV/cell
energy of formation from the pure elements = 0.045 eV/atom
crystal system = orthorhombic

=====

Record 4
An optimized crystal structure of TbUTc2, computed with PBE-GGA.

a b c (Å): 6.800 6.800 6.800
angles (deg): 90.00 90.00 90.00
Space group Fm-3m (No. 225)
Unique sites:
Tb 0.000 0.000 0.000 [4 per cell]
U 0.000 0.000 0.500 [4 per cell]
Tc 0.250 0.250 0.250 [8 per cell]

Results
VASP energy = -145.53 eV/cell
energy of formation from the pure elements = 0.067 eV/atom
crystal system = cubic

=====

Record 5
An optimized crystal structure of TbUTc3, computed with PBE-GGA.

a b c (Å): 5.476 5.753 6.351
angles (deg): 90.00 104.42 90.00
Space group P2_1/m (No. 11)
Unique sites:
Tb 0.163 0.250 0.123 [2 per cell]
U 0.331 0.750 0.396 [2 per cell]
Tc 0.217 0.003 0.661 [4 per cell]
Tc 0.402 0.750 0.043 [2 per cell]

Results
VASP energy = -95.00 eV/cell
energy of formation from the pure elements = -0.097 eV/atom
crystal system = monoclinic

=====

Record 6
An optimized crystal structure of TbUTc2, computed with PBE-GGA.

a b c (Å): 10.414 3.550 8.716
angles (deg): 90.00 90.00 90.00
Space group Pnma (No. 62)
Unique sites:
Tb 0.082 0.250 0.156 [4 per cell]
U 0.103 0.750 0.490 [4 per cell]
Tc 0.162 0.250 0.710 [4 per cell]
Tc 0.209 0.750 0.914 [4 per cell]

Results
VASP energy = -147.46 eV/cell
energy of formation from the pure elements = -0.054 eV/atom
crystal system = orthorhombic

=====

Record 7
An optimized crystal structure of Tb2UTc2, computed with PBE-GGA.

a b c (Å): 9.920 5.943 7.899
angles (deg): 90.00 99.93 90.00
Space group C2/c (No. 15)
Unique sites:
Tb 0.151 0.123 0.150 [8 per cell]
U 0.000 0.375 0.750 [4 per cell]
Tc 0.125 0.374 0.512 [8 per cell]

Results
VASP energy = -169.17 eV/cell
energy of formation from the pure elements = -0.202 eV/atom
crystal system = monoclinic

=====

Record 8
An optimized crystal structure of TbVTc2, computed with PBE-GGA.

a b c (Å): 3.0712 3.0712 25.2376
angles (deg): 90.00 90.00 120.00
Space group R-3m (No. 166, hexagonal axes)
Unique sites:
Tb 0.0000 0.0000 0.0000 [3 per cell]
V 0.0000 0.0000 0.5000 [3 per cell]
Tc 0.0000 0.0000 0.2384 [6 per cell]

Results
VASP energy = -100.31 eV/cell
energy of formation from the pure elements = 0.261 eV/atom
crystal system = trigonal

=====

Record 9
An optimized crystal structure of TbVTc2, computed with PBE-GGA.

a b c (Å): 3.144 3.144 6.923
angles (deg): 90.00 90.00 90.00
Space group P4/mmm (No. 123)
Unique sites:
Tb 0.000 0.000 0.000 [1 per cell]
V 0.000 0.000 0.500 [1 per cell]
Tc 0.500 0.500 0.299 [2 per cell]

Results
VASP energy = -34.52 eV/cell
energy of formation from the pure elements = -0.010 eV/atom
crystal system = tetragonal

=====

Record 10
An optimized crystal structure of Tb2TcW, computed with PBE-GGA.

a b c (Å): 3.1254 3.1254 30.5761
angles (deg): 90.00 90.00 120.00
Space group R-3m (No. 166, hexagonal axes)
Unique sites:
Tb 0.0000 0.0000 0.0950 [6 per cell]
Tc 0.0000 0.0000 0.5000 [3 per cell]
W 0.0000 0.0000 0.0000 [3 per cell]

Results
VASP energy = -86.82 eV/cell
energy of formation from the pure elements = 0.910 eV/atom
crystal system = trigonal

=====

Record 11
An optimized crystal structure of TbY2Tc9, computed with PBE-GGA.

a b c (Å): 5.3638 5.3638 26.1779
angles (deg): 90.00 90.00 120.00
Space group R-3m (No. 166, hexagonal axes)
Unique sites:
Tb 0.0000 0.0000 0.0000 [3 per cell]
Y 0.0000 0.0000 0.1434 [6 per cell]
Tc 0.0000 0.0000 0.3383 [6 per cell]
Tc 0.0000 0.0000 0.5000 [3 per cell]
Tc 0.0103 0.5052 0.9168 [18 per cell]

Results
VASP energy = -334.22 eV/cell
energy of formation from the pure elements = -0.046 eV/atom
crystal system = trigonal

=====

Record 12
An optimized crystal structure of Tb2YTc9, computed with PBE-GGA.

a b c (Å): 5.3625 5.3625 26.2053
angles (deg): 90.00 90.00 120.00
Space group R-3m (No. 166, hexagonal axes)
Unique sites:
Tb 0.0000 0.0000 0.1437 [6 per cell]
Y 0.0000 0.0000 0.0000 [3 per cell]
Tc 0.0000 0.0000 0.3380 [6 per cell]
Tc 0.0000 0.0000 0.5000 [3 per cell]
Tc 0.0097 0.5049 0.9169 [18 per cell]

Results
VASP energy = -328.40 eV/cell
energy of formation from the pure elements = -0.037 eV/atom
crystal system = trigonal